Material: Li2NdRh
Method: DFT, PBE-GGA
State: optimized geometry

a b c (Å): 2.9839 2.9839 31.1422
angles (deg): 90.00 90.00 120.00
Closest atoms and distances in Å follow each position.
Space group R-3m (No. 166, hexagonal axes)
Asymmetric unit:
1 Li 0.0000 0.0000 0.1037 x6  3 Rh 2.61
2 Nd 0.0000 0.0000 0.0000 x3  6 Nd 2.98, 2 Li 3.23
3 Rh 0.0000 0.0000 0.5000 x3  6 Li 2.61

Values from the calculation:
- formation energy from the elements (eV/atom) = 0.277